# ZrCuMo2

Crystalline ZrCuMo2 at its relaxed geometry (PBE, Alexandria via LeMat-Bulk).

```
ZrCuMo2
1.0
4.814 0.000 0.000
0.000 2.759 0.013
0.000 0.576 5.026
Cu Mo Zr
1 2 1
direct
0.500 0.750 0.750
0.000 0.954 0.007
0.000 0.546 0.493
0.500 0.250 0.250
```

Calculated values
N(E_F), states/eV/f.u.: 3.6
Space-group type: P2/m (10)
DFT total energy, eV per atom: -8.355
Energy above the most stable polymorph in this dataset, eV/f.u.: 0.81
Energy relative to the elements, eV/atom: 0.221